K3NaMg2F9 | GGA-PBE | optimized geometry

## Properties
theoretical density	2.8	g cm⁻³
magnetization	1.135	μB/cell
E_tot	-68.50	eV per cell
D(E_F)	0.87	states/eV/atom
ΔE_f (raw)	-2.924	eV/atom

Lattice parameters (Å, degrees): 5.8508 5.8508 7.3236 90.00 90.00 120.00
Space group P-3m1 (No. 164)
Asymmetric unit:
K: 0.0000 0.0000 0.0000 [1 per cell]
K: 0.3333 0.6667 0.6549 [2 per cell]
Na: 0.0000 0.0000 0.5000 [1 per cell]
Mg: 0.3333 0.6667 0.1515 [2 per cell]
F: 0.0000 0.5000 0.0000 [3 per cell]
F: 0.1766 0.3533 0.3155 [6 per cell]

KNa3Mg4F12 | GGA-PBE | optimized geometry

## Properties
theoretical density	2.9	g cm⁻³
magnetization	0.000	μB/cell
E_tot	-98.82	eV per cell
D(E_F)	0.00	states/eV/atom
ΔE_f (raw)	-3.246	eV/atom

Lattice parameters (Å, degrees): 5.536 7.901 5.587 90.00 90.18 90.00
Space group Pm (No. 6)
Asymmetric unit:
K: 0.000 0.000 0.000 [1 per cell]
Na: 0.009 0.500 0.952 [1 per cell]
Na: 0.506 0.000 0.510 [1 per cell]
Na: 0.508 0.500 0.459 [1 per cell]
Mg: 0.005 0.253 0.480 [2 per cell]
Mg: 0.507 0.254 0.985 [2 per cell]
F: 0.076 0.000 0.493 [1 per cell]
F: 0.213 0.280 0.191 [2 per cell]
F: 0.295 0.296 0.695 [2 per cell]
F: 0.472 0.000 0.938 [1 per cell]
F: 0.574 0.500 0.030 [1 per cell]
F: 0.708 0.206 0.280 [2 per cell]
F: 0.794 0.246 0.769 [2 per cell]
F: 0.936 0.500 0.471 [1 per cell]

K3Na2MgF6 | GGA-PBE | optimized geometry

## Properties
theoretical density	2.2	g cm⁻³
magnetization	0.441	μB/cell
E_tot	-50.36	eV per cell
D(E_F)	0.11	states/eV/atom
ΔE_f (raw)	-2.634	eV/atom

Lattice parameters (Å, degrees): 6.0879 6.0879 7.1535 90.00 90.00 120.00
Space group P-3m1 (No. 164)
Asymmetric unit:
K: 0.0000 0.0000 0.0000 [1 per cell]
K: 0.3333 0.6667 0.6152 [2 per cell]
Na: 0.3333 0.6667 0.1797 [2 per cell]
Mg: 0.0000 0.0000 0.5000 [1 per cell]
F: 0.1547 0.3093 0.3309 [6 per cell]

KNaMg2Si4O10F2 | GGA-PBE | optimized geometry

## Properties
theoretical density	2.8	g cm⁻³
magnetization	0.000	μB/cell
E_tot	-274.69	eV per cell
D(E_F)	0.00	states/eV/atom
ΔE_f (raw)	-2.836	eV/atom

Lattice parameters (Å, degrees): 5.345 9.177 10.491 90.00 101.16 90.00
Space group C2/m (No. 12)
Asymmetric unit:
K: 0.000 0.000 0.000 [2 per cell]
Na: 0.000 0.500 0.500 [2 per cell]
Mg: 0.000 0.166 0.500 [4 per cell]
Si: 0.082 0.330 0.229 [8 per cell]
O: 0.053 0.500 0.174 [4 per cell]
O: 0.140 0.318 0.384 [8 per cell]
O: 0.191 0.248 0.837 [8 per cell]
F: 0.095 0.000 0.393 [4 per cell]

KMgNbF6 | GGA-PBE | optimized geometry

## Properties
theoretical density	3.0	g cm⁻³
magnetization	4.000	μB/cell
E_tot	-101.42	eV per cell
D(E_F)	0.83	states/eV/atom
ΔE_f (raw)	-2.969	eV/atom

Lattice parameters (Å, degrees): 5.6193 5.6193 11.0765 90.00 90.00 120.00
Space group P-31c (No. 163)
Asymmetric unit:
K: 0.0000 0.0000 0.0000 [2 per cell]
Mg: 0.3333 0.6667 0.2500 [2 per cell]
Nb: 0.3333 0.6667 0.7500 [2 per cell]
F: 0.0129 0.3769 0.1541 [12 per cell]